Arrangement A

The following is a DFT calculation (GGA-PBE) of crystalline Tb8ZnCo2 at its relaxed geometry.

The structure in CIF format:
```
data_Tb8ZnCo2
_chemical_formula_sum 'Tb16 Zn2 Co4'
_cell_length_a 8.494
_cell_length_b 13.023
_cell_length_c 5.404
_cell_angle_alpha 90.00
_cell_angle_beta 103.98
_cell_angle_gamma 90.00
_symmetry_space_group_name_H-M 'C 1 2/m 1'
_symmetry_Int_Tables_number 12
_symmetry_space_group_name_Hall '-C 2y'
loop_
_atom_site_label
_atom_site_type_symbol
_atom_site_fract_x
_atom_site_fract_y
_atom_site_fract_z
Tb1 Tb 0.000 0.244 0.000
Tb2 Tb 0.118 0.500 0.806
Tb3 Tb 0.201 0.130 0.576
Zn1 Zn 0.000 0.000 0.000
Co1 Co 0.000 0.304 0.500
```

Arrangement B

The following is a DFT calculation (GGA-PBE) of crystalline Tb8ZnCo2 at its relaxed geometry.

The structure in CIF format:
```
data_Tb8ZnCo2
_chemical_formula_sum 'Tb16 Zn2 Co4'
_cell_length_a 17.352
_cell_length_b 4.998
_cell_length_c 6.756
_cell_angle_alpha 90.00
_cell_angle_beta 106.95
_cell_angle_gamma 90.00
_symmetry_space_group_name_H-M 'C 1 2/m 1'
_symmetry_Int_Tables_number 12
_symmetry_space_group_name_Hall '-C 2y'
loop_
_atom_site_label
_atom_site_type_symbol
_atom_site_fract_x
_atom_site_fract_y
_atom_site_fract_z
Tb1 Tb 0.039 0.000 0.280
Tb2 Tb 0.095 0.500 0.970
Tb3 Tb 0.176 0.500 0.482
Tb4 Tb 0.199 0.000 0.828
Zn1 Zn 0.000 0.500 0.500
Co1 Co 0.187 0.000 0.213
```

Referenced to the most stable arrangement, the calculated values in kJ/mol of atoms are arrangement A 7.0; arrangement B 0.0.

Arrangement A

The following is a DFT calculation (GGA-PBE) of crystalline CoTc3 at its relaxed geometry.

The structure in CIF format:
```
data_CoTc3
_chemical_formula_sum 'Co2 Tc6'
_cell_length_a 5.3826
_cell_length_b 5.3826
_cell_length_c 4.2962
_cell_angle_alpha 90.00
_cell_angle_beta 90.00
_cell_angle_gamma 120.00
_symmetry_space_group_name_H-M 'P 63/m m c'
_symmetry_Int_Tables_number 194
_symmetry_space_group_name_Hall '-P 6c 2c'
loop_
_atom_site_label
_atom_site_type_symbol
_atom_site_fract_x
_atom_site_fract_y
_atom_site_fract_z
Co1 Co 0.3333 0.6667 0.2500
Tc1 Tc 0.1664 0.3329 0.7500
```

Arrangement B

The following is a DFT calculation (GGA-PBE) of crystalline CoTc3 at its relaxed geometry.

The structure in CIF format:
```
data_CoTc3
_chemical_formula_sum 'Co1 Tc3'
_cell_length_a 3.130
_cell_length_b 3.130
_cell_length_c 5.585
_cell_angle_alpha 90.00
_cell_angle_beta 90.00
_cell_angle_gamma 90.00
_symmetry_space_group_name_H-M 'P 4/m m m'
_symmetry_Int_Tables_number 123
_symmetry_space_group_name_Hall '-P 4 2'
loop_
_atom_site_label
_atom_site_type_symbol
_atom_site_fract_x
_atom_site_fract_y
_atom_site_fract_z
Co1 Co 0.000 0.000 0.000
Tc1 Tc 0.000 0.000 0.500
Tc2 Tc 0.500 0.500 0.221
```

Arrangement C

The following is a DFT calculation (GGA-PBE) of crystalline CoTc3 at its relaxed geometry.

The structure in CIF format:
```
data_CoTc3
_chemical_formula_sum 'Co6 Tc18'
_cell_length_a 5.389
_cell_length_b 13.011
_cell_length_c 4.635
_cell_angle_alpha 90.00
_cell_angle_beta 90.00
_cell_angle_gamma 90.00
_symmetry_space_group_name_H-M 'P m m n'
_symmetry_Int_Tables_number 59
loop_
_symmetry_equiv_pos_as_xyz
'x,y,z'
'-x,-y,-z'
'-x+1/2,-y+1/2,z'
'x+1/2,y+1/2,-z'
'x+1/2,-y,-z'
'-x+1/2,y,z'
'-x,y+1/2,-z'
'x,-y+1/2,z'
loop_
_atom_site_label
_atom_site_type_symbol
_atom_site_fract_x
_atom_site_fract_y
_atom_site_fract_z
Co1 Co 0.250 0.082 0.165
Co2 Co 0.250 0.750 0.492
Tc1 Tc 0.001 0.750 0.991
Tc2 Tc 0.003 0.086 0.668
Tc3 Tc 0.250 0.250 0.498
Tc4 Tc 0.250 0.584 0.830
```

Arrangement D

The following is a DFT calculation (GGA-PBE) of crystalline CoTc3 at its relaxed geometry.

The structure in CIF format:
```
data_CoTc3
_chemical_formula_sum 'Co1 Tc3'
_cell_length_a 2.677
_cell_length_b 2.677
_cell_length_c 7.565
_cell_angle_alpha 90.00
_cell_angle_beta 90.00
_cell_angle_gamma 90.00
_symmetry_space_group_name_H-M 'P 4/m m m'
_symmetry_Int_Tables_number 123
_symmetry_space_group_name_Hall '-P 4 2'
loop_
_atom_site_label
_atom_site_type_symbol
_atom_site_fract_x
_atom_site_fract_y
_atom_site_fract_z
Co1 Co 0.000 0.000 0.000
Tc1 Tc 0.000 0.000 0.500
Tc2 Tc 0.500 0.500 0.236
```

Referenced to the most stable arrangement, the calculated values in kJ/mol of atoms are arrangement A 0.0; arrangement B 21.0; arrangement C 6.4; arrangement D 13.1.

Arrangement A

The following is a DFT calculation (GGA-PBE) of crystalline CoTc3 at its relaxed geometry.

The structure in CIF format:
```
data_CoTc3
_chemical_formula_sum 'Co3 Tc9'
_cell_length_a 8.5792
_cell_length_b 8.5792
_cell_length_c 2.6132
_cell_angle_alpha 90.00
_cell_angle_beta 90.00
_cell_angle_gamma 120.00
_symmetry_space_group_name_H-M 'R -3 m'
_symmetry_Int_Tables_number 166
_symmetry_space_group_name_Hall '-R 3 2"'
loop_
_atom_site_label
_atom_site_type_symbol
_atom_site_fract_x
_atom_site_fract_y
_atom_site_fract_z
Co1 Co 0.0000 0.0000 0.0000
Tc1 Tc 0.0000 0.5000 0.0000
```

Arrangement B

The following is a DFT calculation (GGA-PBE) of crystalline CoTc3 at its relaxed geometry.

The structure in CIF format:
```
data_CoTc3
_chemical_formula_sum 'Co3 Tc9'
_cell_length_a 2.6995
_cell_length_b 2.6995
_cell_length_c 26.1162
_cell_angle_alpha 90.00
_cell_angle_beta 90.00
_cell_angle_gamma 120.00
_symmetry_space_group_name_H-M 'R -3 m'
_symmetry_Int_Tables_number 166
_symmetry_space_group_name_Hall '-R 3 2"'
loop_
_atom_site_label
_atom_site_type_symbol
_atom_site_fract_x
_atom_site_fract_y
_atom_site_fract_z
Co1 Co 0.0000 0.0000 0.0000
Tc1 Tc 0.0000 0.0000 0.2530
Tc2 Tc 0.0000 0.0000 0.5000
```

Referenced to the most stable arrangement, the calculated values in kJ/mol of atoms are arrangement A 14.5; arrangement B 0.0.

Arrangement A

The following is a DFT calculation (GGA-PBE) of crystalline CoTc3 at its relaxed geometry.

The structure in CIF format:
```
data_CoTc3
_chemical_formula_sum 'Co4 Tc12'
_cell_length_a 5.241
_cell_length_b 8.200
_cell_length_c 5.101
_cell_angle_alpha 90.00
_cell_angle_beta 90.00
_cell_angle_gamma 90.00
_symmetry_space_group_name_H-M 'P n m a'
_symmetry_Int_Tables_number 62
_symmetry_space_group_name_Hall '-P 2ac 2n'
loop_
_atom_site_label
_atom_site_type_symbol
_atom_site_fract_x
_atom_site_fract_y
_atom_site_fract_z
Co1 Co 0.076 0.250 0.045
Tc1 Tc 0.037 0.250 0.559
Tc2 Tc 0.177 0.521 0.789
```

Arrangement B

The following is a DFT calculation (GGA-PBE) of crystalline CoTc3 at its relaxed geometry.

The structure in CIF format:
```
data_CoTc3
_chemical_formula_sum 'Co2 Tc6'
_cell_length_a 4.783
_cell_length_b 4.783
_cell_length_c 4.783
_cell_angle_alpha 90.00
_cell_angle_beta 90.00
_cell_angle_gamma 90.00
_symmetry_space_group_name_H-M 'P m -3 n'
_symmetry_Int_Tables_number 223
_symmetry_space_group_name_Hall '-P 4n 2 3'
loop_
_atom_site_label
_atom_site_type_symbol
_atom_site_fract_x
_atom_site_fract_y
_atom_site_fract_z
Co1 Co 0.000 0.000 0.000
Tc1 Tc 0.000 0.250 0.500
```

Referenced to the most stable arrangement, the calculated values in kJ/mol of atoms are arrangement A 1.5; arrangement B 0.0.